(1)
A plane-wave DFT calculation with PBE was carried out for a geometry-optimized CaGa5 structure.

Computed properties:
ΔE_f ... -1.6 eV/f.u.
VASP energy ... -3.115 eV/atom

```
data_CaGa5
_symmetry_space_group_name_H-M 'I m m m'
_symmetry_Int_Tables_number 71
_symmetry_space_group_name_Hall '-I 2 2'
_cell_length_a 4.212
_cell_length_b 7.030
_cell_length_c 8.346
_cell_angle_alpha 90.00
_cell_angle_beta 90.00
_cell_angle_gamma 90.00
loop_
_atom_site_label
_atom_site_fract_x
_atom_site_fract_y
_atom_site_fract_z
Ca1 0.000 0.000 0.000
Ga1 0.000 0.196 0.338
Ga2 0.000 0.500 0.000
```

(2)
A plane-wave DFT calculation with PBE was carried out for a geometry-optimized Ho5Hg2Ir structure.

Computed properties:
ΔE_f ... -4.3 eV/f.u.
VASP energy ... -4.582 eV/atom

```
data_Ho5Hg2Ir
_symmetry_space_group_name_H-M 'P b a m'
_symmetry_Int_Tables_number 55
_symmetry_space_group_name_Hall '-P 2 2ab'
_cell_length_a 7.040
_cell_length_b 12.103
_cell_length_c 4.871
_cell_angle_alpha 90.00
_cell_angle_beta 90.00
_cell_angle_gamma 90.00
loop_
_atom_site_label
_atom_site_fract_x
_atom_site_fract_y
_atom_site_fract_z
Ho1 0.000 0.000 0.000
Ho2 0.141 0.292 0.000
Ho3 0.174 0.585 0.500
Hg1 0.084 0.838 0.500
Ir1 0.000 0.500 0.000
```

(3)
A plane-wave DFT calculation with PBE was carried out for a geometry-optimized RbLi2CdAg structure.

Computed properties:
ΔE_f ... 0.1 eV/f.u.
VASP energy ... -1.690 eV/atom

```
data_RbLi2CdAg
_symmetry_space_group_name_H-M 'P 4/m m m'
_symmetry_Int_Tables_number 123
_symmetry_space_group_name_Hall '-P 4 2'
_cell_length_a 5.328
_cell_length_b 5.328
_cell_length_c 5.443
_cell_angle_alpha 90.00
_cell_angle_beta 90.00
_cell_angle_gamma 90.00
loop_
_atom_site_label
_atom_site_fract_x
_atom_site_fract_y
_atom_site_fract_z
Rb1 0.000 0.000 0.000
Li1 0.000 0.500 0.500
Cd1 0.500 0.500 0.000
Ag1 0.500 0.500 0.500
```

(4)
A plane-wave DFT calculation with PBE was carried out for a geometry-optimized ErMg2In structure.

Computed properties:
ΔE_f ... -0.8 eV/f.u.
VASP energy ... -2.828 eV/atom

```
data_ErMg2In
_symmetry_space_group_name_H-M 'I -4 m 2'
_symmetry_Int_Tables_number 119
_symmetry_space_group_name_Hall 'I -4 -2'
_cell_length_a 5.150
_cell_length_b 5.150
_cell_length_c 7.250
_cell_angle_alpha 90.00
_cell_angle_beta 90.00
_cell_angle_gamma 90.00
loop_
_atom_site_label
_atom_site_fract_x
_atom_site_fract_y
_atom_site_fract_z
Er1 0.000 0.000 0.000
Mg1 0.000 0.000 0.500
Mg2 0.000 0.500 0.250
In1 0.000 0.500 0.750
```

(5)
A plane-wave DFT calculation with PBE was carried out for a geometry-optimized HfGe3Pt structure.

Computed properties:
ΔE_f ... 2.8 eV/f.u.
VASP energy ... -5.414 eV/atom

```
data_HfGe3Pt
_symmetry_space_group_name_H-M 'P m -3 m'
_symmetry_Int_Tables_number 221
_symmetry_space_group_name_Hall '-P 4 2 3'
_cell_length_a 4.852
_cell_length_b 4.852
_cell_length_c 4.852
_cell_angle_alpha 90.00
_cell_angle_beta 90.00
_cell_angle_gamma 90.00
loop_
_atom_site_label
_atom_site_fract_x
_atom_site_fract_y
_atom_site_fract_z
Hf1 0.000 0.000 0.000
Ge1 0.000 0.500 0.500
Pt1 0.500 0.500 0.500
```

(6)
A plane-wave DFT calculation with PBE was carried out for a geometry-optimized Ce8AsPt2 structure.

Computed properties:
ΔE_f ... -5.8 eV/f.u.
VASP energy ... -6.360 eV/atom

```
data_Ce8AsPt2
_symmetry_space_group_name_H-M 'C 1 2/m 1'
_symmetry_Int_Tables_number 12
_symmetry_space_group_name_Hall '-C 2y'
_cell_length_a 8.325
_cell_length_b 13.641
_cell_length_c 5.162
_cell_angle_alpha 90.00
_cell_angle_beta 105.62
_cell_angle_gamma 90.00
loop_
_atom_site_label
_atom_site_fract_x
_atom_site_fract_y
_atom_site_fract_z
Ce1 0.000 0.232 0.000
Ce2 0.108 0.500 0.832
Ce3 0.179 0.102 0.574
As1 0.000 0.000 0.000
Pt1 0.000 0.311 0.500
```

no.,M_tot (μB per cell)
1,0.000
2,0.000
3,0.000
4,0.000
5,0.000
6,6.222